No. 1
The following is a DFT calculation (GGA-PBE) of Y6CoPt2 after structural relaxation.

Computed properties:
N(E_F) = 15.423 states/eV per cell
Space-group type = P2_1/c

Structure (POSCAR):
```
Y6CoPt2
1.0
6.582 0.000 -0.146
0.000 7.312 0.000
0.094 0.000 9.760
Y Co Pt
12 2 4
Cartesian
0.968 0.263 2.407
1.196 2.328 5.482
1.185 2.366 9.077
2.247 6.022 5.491
2.236 5.984 9.085
2.370 3.919 2.400
5.708 7.049 7.207
5.480 4.983 4.132
5.491 4.945 0.538
4.429 1.290 4.123
4.440 1.328 0.529
4.306 3.393 7.215
3.291 3.656 -0.073
0.047 0.000 4.880
0.402 4.499 7.270
3.030 0.843 7.298
3.646 6.468 2.317
6.274 2.813 2.344
```


No. 2
The following is a DFT calculation (GGA-PBE) of Y3CoPt after structural relaxation.

Computed properties:
N(E_F) = 18.191 states/eV per cell
Energy above the most stable polymorph in this dataset = 0.0 meV/atom
Space-group type = P2_1/c

Structure (POSCAR):
```
Y3CoPt
1.0
-4.830 -2.473 4.111
1.133 -6.705 -2.702
6.130 0.443 7.468
Y Co Pt
12 4 4
Cartesian
0.057 -1.611 2.676
2.376 -7.123 6.200
-1.907 -4.326 4.373
4.340 -4.408 4.504
-3.475 -7.591 2.491
5.908 -1.144 6.386
1.109 -5.896 3.259
1.324 -2.838 5.618
-1.220 -6.072 0.572
3.653 -2.663 8.305
3.551 -5.010 1.180
-1.118 -3.724 7.697
5.396 -6.690 5.692
-2.963 -2.044 3.185
0.190 -5.420 5.976
2.243 -3.314 2.901
-0.368 -8.332 2.654
2.801 -0.403 6.223
0.608 -3.821 0.878
1.825 -4.914 7.999
```


No. 3
The following is a DFT calculation (GGA-PBE) of Y4CoPt after structural relaxation.

Computed properties:
N(E_F) = 15.255 states/eV per cell
Energy above the most stable polymorph in this dataset = 0.0 meV/atom
Space-group type = C2/c

Structure (POSCAR):
```
Y4CoPt
1.0
-5.490 -1.697 -2.434
3.378 -6.443 3.224
-1.330 5.738 5.351
Y Co Pt
8 2 2
Cartesian
-3.118 -1.099 4.309
2.240 -4.511 4.453
-3.631 -0.696 0.869
0.076 -4.839 1.544
-3.518 2.437 4.597
0.189 -1.706 5.272
-5.682 2.109 1.688
-0.323 -1.304 1.832
-2.688 5.278 4.736
-0.753 -7.680 1.405
-2.449 -3.292 2.171
-0.992 0.889 3.970
```


No. 4
The following is a DFT calculation (GGA-PBE) of YCo2Pt after structural relaxation.

Computed properties:
N(E_F) = 6.166 states/eV per cell
Energy above the most stable polymorph in this dataset = 64.2 meV/atom
Space-group type = C2/m

Structure (POSCAR):
```
YCo2Pt
1.0
4.204 -0.467 0.479
2.480 3.427 0.479
1.702 0.754 4.830
Co Pt Y
2 1 1
Cartesian
6.590 2.918 1.768
4.288 1.899 2.085
2.097 0.928 1.447
6.290 2.785 4.342
```


No. 5
The following is a DFT calculation (GGA-PBE) of YCo2Pt after structural relaxation.

Computed properties:
N(E_F) = 4.895 states/eV per cell
Energy above the most stable polymorph in this dataset = 150.8 meV/atom
Space-group type = Imm2

Structure (POSCAR):
```
YCo2Pt
1.0
-3.823 2.056 2.415
-3.780 0.866 -3.104
2.772 -3.928 1.250
Co Pt Y
2 1 1
Cartesian
-0.182 0.070 -0.017
-2.185 -0.885 -1.079
-3.757 1.444 -0.340
-2.509 -0.174 1.653
```


No. 6
The following is a DFT calculation (GGA-PBE) of YCo2Pt after structural relaxation.

Computed properties:
N(E_F) = 6.359 states/eV per cell
Energy above the most stable polymorph in this dataset = 322.0 meV/atom
Space-group type = P4/mmm

Structure (POSCAR):
```
YCo2Pt
1.0
3.341 -0.008 0.000
0.008 3.341 0.000
0.000 0.000 5.879
Co Pt Y
2 1 1
Cartesian
0.000 0.000 0.283
0.000 0.000 2.656
1.674 1.666 1.470
1.674 1.666 4.409
```


No. 7
The following is a DFT calculation (GGA-PBE) of YCo2Pt after structural relaxation.

Computed properties:
N(E_F) = 5.581 states/eV per cell
Energy above the most stable polymorph in this dataset = 226.0 meV/atom
Space-group type = Pmmm

Structure (POSCAR):
```
YCo2Pt
1.0
4.312 0.000 0.000
0.000 4.591 -0.204
0.000 0.170 3.771
Co Pt Y
2 1 1
Cartesian
0.000 4.565 0.741
0.000 2.406 0.839
2.156 1.190 0.892
2.156 3.571 2.675
```


No. 8
The following is a DFT calculation (GGA-PBE) of Y3CoPt after structural relaxation.

Computed properties:
N(E_F) = 3.024 states/eV per cell
Energy above the most stable polymorph in this dataset = 400.3 meV/atom
Space-group type = Pm-3m

Structure (POSCAR):
```
Y3CoPt
1.0
5.038 0.000 0.000
0.000 5.038 0.000
0.000 0.000 5.038
Y Co Pt
3 1 1
Cartesian
0.000 2.519 0.000
0.000 0.000 2.519
2.519 0.000 0.000
0.000 0.000 0.000
2.519 2.519 2.519
```


No. 9
The following is a DFT calculation (GGA-PBE) of YCo2Pt after structural relaxation.

Computed properties:
N(E_F) = 5.179 states/eV per cell
Energy above the most stable polymorph in this dataset = 401.2 meV/atom
Space-group type = C2/m

Structure (POSCAR):
```
YCo2Pt
1.0
5.007 -0.023 -0.069
-2.280 4.682 0.021
0.447 0.905 2.750
Co Pt Y
2 1 1
Cartesian
0.000 0.000 0.000
2.727 0.441 1.340
-0.916 2.794 1.385
1.363 2.330 -0.024
```


No. 10
The following is a DFT calculation (GGA-PBE) of YCo2Pt after structural relaxation.

Computed properties:
N(E_F) = 4.845 states/eV per cell
Energy above the most stable polymorph in this dataset = 100.1 meV/atom
Space-group type = P4/mmm

Structure (POSCAR):
```
YCo2Pt
1.0
-3.488 1.328 -1.377
-0.717 -3.564 -1.621
-1.774 -1.172 3.363
Co Pt Y
2 1 1
Cartesian
0.000 0.000 0.000
-2.103 -1.118 -1.499
-2.631 0.078 0.993
-1.246 -2.368 0.871
```


No. 11
The following is a DFT calculation (GGA-PBE) of YCo2Pt after structural relaxation.

Computed properties:
N(E_F) = 3.772 states/eV per cell
Energy above the most stable polymorph in this dataset = 0.0 meV/atom
Space-group type = R3m

Structure (POSCAR):
```
YCo2Pt
1.0
-0.074 1.105 3.948
-0.629 -2.822 2.907
4.533 -1.326 2.585
Co Pt Y
2 1 1
Cartesian
0.100 -1.844 6.905
0.664 -0.714 2.341
1.364 -1.435 4.685
2.917 -2.289 7.081
```


No. 12
The following is a DFT calculation (GGA-PBE) of YZrCoPt after structural relaxation.

Computed properties:
N(E_F) = 3.303 states/eV per cell
Space-group type = F-43m

Structure (POSCAR):
```
YZrCoPt
1.0
4.756 0.000 0.000
2.378 4.119 0.000
2.378 1.373 3.883
Y Co Zr Pt
1 1 1 1
Cartesian
7.134 4.119 2.912
4.756 2.746 1.942
2.378 1.373 0.971
0.000 0.000 0.000
```


No. 13
The following is a DFT calculation (GGA-PBE) of ZnCo2Pt3 after structural relaxation.

Computed properties:
N(E_F) = 5.534 states/eV per cell
Space-group type = P4/mmm

Structure (POSCAR):
```
ZnCo2Pt3
1.0
-2.628 0.776 0.198
-0.499 -2.119 1.677
2.522 6.312 8.726
Zn Co Pt
1 2 3
Cartesian
-0.303 2.485 5.301
0.541 4.594 8.218
-1.146 0.375 2.384
0.000 0.000 0.000
1.696 4.244 5.868
0.826 2.068 2.859
```


No. 14
The following is a DFT calculation (GGA-PBE) of ZnCoPt14 after structural relaxation.

Computed properties:
N(E_F) = 25.479 states/eV per cell
Space-group type = Amm2

Structure (POSCAR):
```
ZnCoPt14
1.0
-5.232 -1.258 1.366
3.476 -4.013 -1.625
2.592 -1.294 8.738
Zn Co Pt
1 1 14
Cartesian
0.047 -3.165 4.367
4.419 -4.548 2.865
1.675 -3.443 -1.006
-2.684 -2.064 0.490
2.649 -2.530 3.689
-0.070 -1.435 -0.192
1.769 -5.168 3.559
-0.948 -4.069 -0.321
0.404 -1.928 6.766
-0.837 -1.309 2.582
-0.478 -4.575 6.635
-1.719 -3.955 2.452
2.138 -3.943 6.021
0.861 -3.305 1.715
-2.230 -2.560 7.499
-3.495 -1.928 3.233
```


No. 15
The following is a DFT calculation (GGA-PBE) of ZnCo2Pt2 after structural relaxation.

Computed properties:
N(E_F) = 12.474 states/eV per cell
Space-group type = P4/mbm

Structure (POSCAR):
```
ZnCo2Pt2
1.0
-5.204 0.013 -5.123
-3.690 -5.076 3.735
-1.338 1.976 1.364
Zn Co Pt
2 4 4
Cartesian
0.000 0.000 0.000
-4.447 -2.531 -0.694
-3.975 -2.382 2.321
-7.209 -3.245 0.400
-6.256 -0.705 -2.345
-3.022 0.158 -0.424
-5.097 -4.390 1.360
-6.845 -3.208 -2.066
-3.796 -0.673 -2.748
-2.048 -1.855 0.678
```


No. 16
The following is a DFT calculation (GGA-PBE) of ZnCoPt2 after structural relaxation.

Computed properties:
N(E_F) = 4.870 states/eV per cell
Space-group type = R-3m

Structure (POSCAR):
```
ZnCoPt2
1.0
-5.018 -3.726 6.112
-4.856 -5.835 4.335
-2.861 -5.450 6.208
Co Pt Zn
1 2 1
Cartesian
-9.551 -11.258 12.491
-0.014 -0.016 0.018
-6.354 -7.489 8.309
-3.184 -3.753 4.164
```


No. 17
The following is a DFT calculation (GGA-PBE) of ZnCoPt2 after structural relaxation.

Computed properties:
N(E_F) = 2.607 states/eV per cell
Space-group type = R3m

Structure (POSCAR):
```
ZnCoPt2
1.0
8.862 0.008 0.005
8.436 2.715 0.005
8.436 1.328 2.368
Co Pt Zn
1 2 1
Cartesian
19.357 3.048 1.789
0.156 0.025 0.014
6.318 0.995 0.584
12.770 2.011 1.180
```


No. 18
The following is a DFT calculation (GGA-PBE) of ZnCoPt2 after structural relaxation.

Computed properties:
N(E_F) = 3.932 states/eV per cell
Space-group type = Cmmm

Structure (POSCAR):
```
ZnCoPt2
1.0
6.236 0.004 0.011
-2.501 3.830 0.010
1.234 0.801 2.360
Zn Co Pt
1 1 2
Cartesian
-0.633 2.315 1.185
1.868 1.917 0.011
0.000 0.000 0.000
3.735 0.402 1.185
```


No. 19
The following is a DFT calculation (GGA-PBE) of ZnCo2Pt2 after structural relaxation.

Computed properties:
N(E_F) = 9.648 states/eV per cell
Space-group type = P4/mbm

Structure (POSCAR):
```
ZnCo2Pt2
1.0
-2.063 -0.759 -6.921
-4.709 -5.165 1.970
-1.934 1.904 0.368
Zn Co Pt
2 4 4
Cartesian
0.000 0.000 0.000
-3.386 -2.962 -2.476
-4.954 -4.856 -0.916
-4.724 -3.852 -4.904
-1.817 -1.067 -4.035
-2.047 -2.071 -0.047
-4.533 -2.690 0.283
-6.234 -3.804 -2.898
-4.173 -1.329 -4.866
-2.472 -0.216 -1.686
```


No. 20
The following is a DFT calculation (GGA-PBE) of ZnCoPt2 after structural relaxation.

Computed properties:
N(E_F) = 5.063 states/eV per cell
Space-group type = Imm2

Structure (POSCAR):
```
ZnCoPt2
1.0
5.247 0.003 0.004
2.604 4.556 -0.004
-3.354 -3.263 2.374
Co Pt Zn
1 2 1
Cartesian
1.630 1.810 1.185
0.101 0.059 0.000
2.831 -0.536 1.189
3.860 2.242 0.000
```


| no. | formation energy from the elements (eV/atom) | DFT total energy (eV per atom) |
| --- | --- | --- |
| 1 | -0.645 | -7.086 |
| 2 | -0.574 | -7.082 |
| 3 | -0.505 | -7.006 |
| 4 | -0.283 | -6.962 |
| 5 | -0.196 | -6.875 |
| 6 | -0.025 | -6.704 |
| 7 | -0.121 | -6.800 |
| 8 | -0.174 | -6.682 |
| 9 | 0.054 | -6.625 |
| 10 | -0.247 | -6.926 |
| 11 | -0.347 | -7.026 |
| 12 | -0.568 | -7.608 |
| 13 | -0.232 | -5.834 |
| 14 | -0.073 | -5.882 |
| 15 | 0.037 | -5.476 |
| 16 | -0.218 | -5.333 |
| 17 | -0.152 | -5.267 |
| 18 | -0.284 | -5.399 |
| 19 | 0.007 | -5.507 |
| 20 | -0.161 | -5.277 |